Entry 1:
# CsUP3O11, relaxed, DFT GGA-PBE
# Final energy ... -487.4 eV/cell
# Total moment ... 0.000 μB per formula unit
data_CsUP3O11
_cell_length_a 11.200
_cell_length_b 7.145
_cell_length_c 13.590
_cell_angle_alpha 73.81
_cell_angle_beta 90.00
_cell_angle_gamma 90.00
_symmetry_space_group_name_H-M 'P 1'
_symmetry_Int_Tables_number 1
loop_
_symmetry_equiv_pos_as_xyz
'x,y,z'
loop_
_atom_site_label
_atom_site_type_symbol
_atom_site_fract_x
_atom_site_fract_y
_atom_site_fract_z
_atom_site_occupancy
O1 O 0.715 0.259 0.325 1
O2 O 0.785 0.259 0.825 1
O3 O 0.180 0.495 0.857 1
O4 O 0.648 0.257 0.506 1
O5 O 0.117 0.242 0.024 1
O6 O 0.416 0.892 0.266 1
O7 O 0.285 0.741 0.675 1
O8 O 0.213 0.130 0.881 1
O9 O 0.618 0.557 0.353 1
O10 O 0.084 0.892 0.766 1
O11 O 0.852 0.257 0.006 1
O12 O 0.690 0.896 0.298 1
O13 O 0.680 0.505 0.643 1
O14 O 0.148 0.743 0.994 1
O15 O 0.118 0.443 0.147 1
O16 O 0.352 0.743 0.494 1
O17 O 0.125 0.782 0.383 1
O18 O 0.215 0.741 0.175 1
O19 O 0.875 0.218 0.617 1
O20 O 0.819 0.636 0.427 1
O21 O 0.375 0.782 0.883 1
O22 O 0.617 0.758 0.476 1
O23 O 0.382 0.443 0.647 1
O24 O 0.713 0.870 0.619 1
O25 O 0.810 0.896 0.798 1
O26 O 0.320 0.495 0.357 1
O27 O 0.820 0.505 0.143 1
O28 O 0.383 0.242 0.524 1
O29 O 0.004 0.263 0.864 1
O30 O 0.496 0.263 0.364 1
O31 O 0.319 0.364 0.073 1
O32 O 0.882 0.557 0.853 1
O33 O 0.996 0.737 0.136 1
O34 O 0.584 0.108 0.734 1
O35 O 0.625 0.218 0.117 1
O36 O 0.181 0.364 0.573 1
O37 O 0.681 0.636 0.927 1
O38 O 0.883 0.758 0.976 1
O39 O 0.287 0.130 0.381 1
O40 O 0.916 0.108 0.234 1
O41 O 0.190 0.104 0.202 1
O42 O 0.787 0.870 0.119 1
O43 O 0.310 0.104 0.702 1
O44 O 0.504 0.737 0.636 1
P1 P 0.201 0.283 0.113 1
P2 P 0.799 0.717 0.887 1
P3 P 0.701 0.717 0.387 1
P4 P 0.362 0.289 0.403 1
P5 P 0.299 0.283 0.613 1
P6 P 0.128 0.677 0.107 1
P7 P 0.372 0.677 0.607 1
P8 P 0.638 0.711 0.597 1
P9 P 0.138 0.289 0.903 1
P10 P 0.872 0.323 0.893 1
P11 P 0.862 0.711 0.097 1
P12 P 0.628 0.323 0.393 1
Cs1 Cs 0.993 0.663 0.609 1
Cs2 Cs 0.007 0.337 0.391 1
Cs3 Cs 0.507 0.663 0.109 1
Cs4 Cs 0.493 0.337 0.891 1
U1 U 0.772 0.159 0.176 1
U2 U 0.272 0.841 0.324 1
U3 U 0.228 0.841 0.824 1
U4 U 0.728 0.159 0.676 1

=====

Entry 2:
# MgCdSe2N, relaxed, DFT GGA-PBE
# Final energy ... -14.3 eV/cell
# Total moment ... 2.105 μB per formula unit
# Energy relative to the lowest polymorph listed for this composition ... 0.215 eV per atom
data_MgCdSe2N
_cell_length_a 5.341
_cell_length_b 5.341
_cell_length_c 4.172
_cell_angle_alpha 90.00
_cell_angle_beta 90.00
_cell_angle_gamma 90.00
_symmetry_space_group_name_H-M 'P 1'
_symmetry_Int_Tables_number 1
loop_
_symmetry_equiv_pos_as_xyz
'x,y,z'
loop_
_atom_site_label
_atom_site_type_symbol
_atom_site_fract_x
_atom_site_fract_y
_atom_site_fract_z
_atom_site_occupancy
Se1 Se 0.500 0.000 0.000 1
Se2 Se 0.000 0.500 0.000 1
N1 N 0.000 0.000 0.500 1
Mg1 Mg 0.500 0.500 0.500 1
Cd1 Cd 0.000 0.000 0.000 1

=====

Entry 3:
# NaPdRu2I, relaxed, DFT GGA-PBE
# Final energy ... -20.2 eV/cell
# Total moment ... 5.007 μB per formula unit
data_NaPdRu2I
_cell_length_a 4.955
_cell_length_b 5.503
_cell_length_c 4.955
_cell_angle_alpha 90.00
_cell_angle_beta 90.00
_cell_angle_gamma 90.00
_symmetry_space_group_name_H-M 'P 1'
_symmetry_Int_Tables_number 1
loop_
_symmetry_equiv_pos_as_xyz
'x,y,z'
loop_
_atom_site_label
_atom_site_type_symbol
_atom_site_fract_x
_atom_site_fract_y
_atom_site_fract_z
_atom_site_occupancy
Na1 Na 0.500 0.500 0.500 1
Ru1 Ru 0.000 0.000 0.500 1
Ru2 Ru 0.500 0.000 0.000 1
Pd1 Pd 0.000 0.000 0.000 1
I1 I 0.000 0.500 0.000 1